Material: LaCeNdPb
Method: DFT, PBE
State: relaxed

Unit cell a=5.614 b=5.614 c=5.614 alpha=60.00 beta=60.00 gamma=60.00
Fractional positions:
La (0.000, 0.000, 0.000)
Ce (0.250, 0.250, 0.250)
Nd (0.500, 0.500, 0.500)
Pb (0.750, 0.750, 0.750)

Output
Total DFT energy (no corrections) = -4.944 eV/atom
Formation energy = -0.1097 eV/atom